# 1
Sr4PtBr2N after structural relaxation. Source: the Alexandria database, functional PBE.

Lattice parameters (Å, degrees): 4.1539 7.3810 7.9090 106.53 90.00 90.00
Closest atoms and distances in Å follow each position.
Fractional coordinates of all 8 atoms:
Br 0.5000 0.0000 0.5000  6 Sr 3.47-3.49
Sr 0.0000 0.7093 0.1863  2 N 2.75, 1 Pt 2.93
Sr 0.0000 0.2907 0.8137  2 N 2.75, 1 Pt 2.93
Pt 0.0000 0.0000 0.0000  6 Sr 2.93-2.98
Sr 0.5000 0.7346 0.8012  1 N 2.65
Br 0.0000 0.5000 0.5000  6 Sr 3.26-3.27
Sr 0.5000 0.2654 0.1988  1 N 2.65
N 0.5000 0.5000 0.0000  6 Sr 2.65-2.75

Results
Formation energy without anion corrections (eV/atom): -1.2001
Uncorrected energy (eV/atom): -4.255

=====

# 2
Sr6PtBr3N2 after structural relaxation. Source: the Alexandria database, functional PBE.

Lattice parameters (Å, degrees): 7.1280 7.1280 7.9142 98.72 98.72 120.06
Closest atoms and distances in Å follow each position.
Fractional coordinates of all 12 atoms:
Br 0.8370 0.1630 0.5000  6 Sr 3.19-3.44
Sr 0.9355 0.5691 0.8106  2 N 2.67-2.68, 1 Pt 2.98
Sr 0.3024 0.3024 0.8112  2 N 2.68, 1 Pt 2.97
Br 0.1630 0.8370 0.5000  6 Sr 3.19-3.44
N 0.3334 0.6666 0.0000  6 Sr 2.67-2.68
Sr 0.6976 0.6976 0.1888  2 N 2.68, 1 Pt 2.97
Sr 0.5691 0.9355 0.8106  2 N 2.67-2.68, 1 Pt 2.98
N 0.6666 0.3334 0.0000  6 Sr 2.67-2.68
Br 0.5000 0.5000 0.5000  6 Sr 3.19-3.42
Pt 0.0000 0.0000 0.0000  6 Sr 2.97-2.98
Sr 0.0645 0.4309 0.1894  2 N 2.67-2.68, 1 Pt 2.98
Sr 0.4309 0.0645 0.1894  2 N 2.67-2.68, 1 Pt 2.98

Results
Formation energy without anion corrections (eV/atom): -1.2125
Uncorrected energy (eV/atom): -4.363

=====

# 3
Sr8Pt3Br3N after structural relaxation. Source: the Alexandria database, functional PBE.

Lattice parameters (Å, degrees): 8.6480 8.6518 9.2500 117.92 89.99 120.01
Closest atoms and distances in Å follow each position.
Fractional coordinates of all 15 atoms:
Sr 0.2619 0.5236 0.2856  3 Pt 3.00, 3 Br 3.34
Pt 0.5000 0.0000 0.5000  6 Sr 3.00-3.01
N 0.0000 0.0000 0.5000  6 Sr 2.70
Br 0.5000 0.5000 0.0000  6 Sr 3.34-3.40
Sr 0.7611 0.9756 0.6895  1 N 2.70, 2 Pt 3.01
Sr 0.7856 0.5711 0.3104  1 N 2.70, 2 Pt 3.01
Sr 0.2389 0.0244 0.3105  1 N 2.70, 2 Pt 3.01
Sr 0.7856 0.0244 0.3105  1 N 2.70, 2 Pt 3.01
Sr 0.2144 0.4289 0.6896  1 N 2.70, 2 Pt 3.01
Pt 0.5000 0.5000 0.5000  6 Sr 3.00-3.01
Br 0.0000 0.0000 0.0000  6 Sr 3.34-3.40
Pt 0.0000 0.5000 0.5000  6 Sr 3.00-3.01
Br 0.0000 0.5000 0.0000  6 Sr 3.34-3.40
Sr 0.7381 0.4764 0.7144  3 Pt 3.00, 3 Br 3.34
Sr 0.2144 0.9756 0.6895  1 N 2.70, 2 Pt 3.01

Results
Formation energy without anion corrections (eV/atom): -1.0692
Uncorrected energy (eV/atom): -4.064

=====

# 4
TePtBrN2 after structural relaxation. Source: the Alexandria database, functional PBE.

Lattice parameters (Å, degrees): 4.0418 5.0685 4.0418 90.00 90.00 90.00
Closest atoms and distances in Å follow each position.
Fractional coordinates of all 5 atoms:
Te 0.5000 0.5000 0.5000  4 Pt 2.86
N 0.0000 0.0000 0.5000  2 Br 2.02
Br 0.0000 0.0000 0.0000  4 N 2.02
Pt 0.0000 0.5000 0.0000  2 Br 2.53
N 0.5000 0.0000 0.0000  2 Br 2.02

Results
Formation energy without anion corrections (eV/atom): 2.0622
Energy above the most stable polymorph in this dataset (eV per atom): 0.806
Uncorrected energy (eV/atom): -3.439

=====

# 5
TePtBrN2 after structural relaxation. Source: the Alexandria database, functional PBE.

Lattice parameters (Å, degrees): 3.9695 3.9695 6.0970 90.00 90.00 90.00
Closest atoms and distances in Å follow each position.
Fractional coordinates of all 5 atoms:
N 0.0000 0.5000 0.0000  2 Pt 1.98
Br 0.5000 0.5000 0.5000  4 Te 2.81
Te 0.0000 0.0000 0.5000  4 Br 2.81, 2 Pt 3.05
N 0.5000 0.0000 0.0000  2 Pt 1.98
Pt 0.0000 0.0000 0.0000  4 N 1.98

Results
Formation energy without anion corrections (eV/atom): 1.2558
Energy above the most stable polymorph in this dataset (eV per atom): 0.000
Uncorrected energy (eV/atom): -4.245

=====

# 6
TePtBr2N after structural relaxation. Source: the Alexandria database, functional PBE.

Lattice parameters (Å, degrees): 4.4020 5.1676 4.4020 90.00 90.00 90.00
Closest atoms and distances in Å follow each position.
Fractional coordinates of all 5 atoms:
N 0.0000 0.0000 0.0000  4 Br 2.20
Te 0.0000 0.5000 0.0000  2 N 2.58
Pt 0.5000 0.5000 0.5000  4 Te 3.11, 8 Br 3.39
Br 0.0000 0.0000 0.5000  2 N 2.20
Br 0.5000 0.0000 0.0000  2 N 2.20

Results
Formation energy without anion corrections (eV/atom): 1.1993
Uncorrected energy (eV/atom): -2.971

=====

# 7
TePtBrN2 after structural relaxation. Source: the Alexandria database, functional PBE.

Lattice parameters (Å, degrees): 3.8202 3.8202 8.3182 90.00 90.00 90.00
Closest atoms and distances in Å follow each position.
Fractional coordinates of all 5 atoms:
N 0.5000 0.0000 0.0000  2 Br 1.91
Pt 0.5000 0.5000 0.5000  4 Te 2.70
N 0.0000 0.5000 0.0000  2 Br 1.91
Br 0.0000 0.0000 0.0000  4 N 1.91
Te 0.0000 0.0000 0.5000  4 Pt 2.70

Results
Formation energy without anion corrections (eV/atom): 2.0458
Energy above the most stable polymorph in this dataset (eV per atom): 0.790
Uncorrected energy (eV/atom): -3.455

=====

# 8
PtWBr2N after structural relaxation. Source: the Alexandria database, functional PBE.

Lattice parameters (Å, degrees): 5.3620 5.0077 5.3620 90.00 90.00 90.00
Closest atoms and distances in Å follow each position.
Fractional coordinates of all 5 atoms:
Br 0.5000 0.0000 0.0000  2 Pt 2.68
N 0.5000 0.5000 0.5000  8 Br 3.67, 4 W 3.79
Br 0.0000 0.0000 0.5000  2 Pt 2.68
Pt 0.0000 0.0000 0.0000  2 W 2.50, 4 Br 2.68
W 0.0000 0.5000 0.0000  2 Pt 2.50

Results
Formation energy without anion corrections (eV/atom): 2.0519
Uncorrected energy (eV/atom): -4.081

=====

# 9
YPtBrN2 after structural relaxation. Source: the Alexandria database, functional PBE.

Lattice parameters (Å, degrees): 3.9392 5.8471 3.9392 90.00 90.00 90.00
Closest atoms and distances in Å follow each position.
Fractional coordinates of all 5 atoms:
N 0.0000 0.0000 0.5000  2 Pt 1.97
Y 0.0000 0.5000 0.0000  4 Br 2.79, 2 Pt 2.92
N 0.5000 0.0000 0.0000  2 Pt 1.97
Pt 0.0000 0.0000 0.0000  4 N 1.97
Br 0.5000 0.5000 0.5000  4 Y 2.79

Results
Formation energy without anion corrections (eV/atom): 0.4246
Energy above the most stable polymorph in this dataset (eV per atom): 0.000
Uncorrected energy (eV/atom): -5.741

=====

# 10
YPtBrN2 after structural relaxation. Source: the Alexandria database, functional PBE.

Lattice parameters (Å, degrees): 4.1886 4.7562 4.1886 90.00 90.00 90.00
Closest atoms and distances in Å follow each position.
Fractional coordinates of all 5 atoms:
Y 0.5000 0.5000 0.5000  4 Pt 2.96, 8 N 3.17
N 0.0000 0.0000 0.5000  2 Br 2.09
Br 0.0000 0.0000 0.0000  4 N 2.09
N 0.5000 0.0000 0.0000  2 Br 2.09
Pt 0.0000 0.5000 0.0000  2 Br 2.38

Results
Formation energy without anion corrections (eV/atom): 1.2504
Energy above the most stable polymorph in this dataset (eV per atom): 0.826
Uncorrected energy (eV/atom): -4.915

=====

# 11
YPt2BrN after structural relaxation. Source: the Alexandria database, functional PBE.

Lattice parameters (Å, degrees): 4.8318 4.2185 4.8318 90.00 90.00 90.00
Closest atoms and distances in Å follow each position.
Fractional coordinates of all 5 atoms:
Pt 0.0000 0.0000 0.5000  2 Br 2.42
Y 0.5000 0.5000 0.5000  8 Pt 3.21, 4 N 3.42
N 0.0000 0.5000 0.0000  2 Br 2.11
Br 0.0000 0.0000 0.0000  2 N 2.11
Pt 0.5000 0.0000 0.0000  2 Br 2.42

Results
Formation energy without anion corrections (eV/atom): 0.8702
Uncorrected energy (eV/atom): -4.839

=====

# 12
Pu4Br5N after structural relaxation. Source: the Alexandria database, functional PBE.

Lattice parameters (Å, degrees): 3.8334 8.2767 9.1208 102.62 102.13 90.00
Closest atoms and distances in Å follow each position.
Fractional coordinates of all 10 atoms:
Br 0.5000 0.5000 0.0000  4 Pu 3.12
Br 0.1749 0.8154 0.3497  4 Pu 2.98-3.21
Pu 0.3588 0.9339 0.7176  1 N 2.45
Pu 0.6412 0.0661 0.2824  1 N 2.45
Pu 0.0020 0.7984 0.0040  2 N 2.55
Br 0.8251 0.1846 0.6503  4 Pu 2.98-3.21
Br 0.1649 0.3420 0.3298  3 Pu 2.94
N 0.5000 0.0000 0.0000  6 Pu 2.45-2.55
Pu 0.9980 0.2016 0.9960  2 N 2.55
Br 0.8351 0.6580 0.6702  3 Pu 2.94

Results
Formation energy without anion corrections (eV/atom): -1.2908
Uncorrected energy (eV/atom): -8.692